Entry 1:
DFT (PBE-GGA) results for crystalline Be5Co3 at its relaxed geometry.

a = 6.304 Å, b = 6.304 Å, c = 4.195 Å
α = 90.00°, β = 90.00°, γ = 120.00°
Atoms (fractional coordinates):
Be  0.000  0.237  0.250
Be  0.000  0.763  0.750
Be  0.237  0.000  0.250
Be  0.237  0.237  0.750
Be  0.333  0.667  0.000
Be  0.333  0.667  0.500
Be  0.667  0.333  0.000
Be  0.667  0.333  0.500
Be  0.763  0.000  0.750
Be  0.763  0.763  0.250
Co  0.000  0.390  0.750
Co  0.000  0.610  0.250
Co  0.390  0.000  0.750
Co  0.390  0.390  0.250
Co  0.610  0.000  0.250
Co  0.610  0.610  0.750

- Energy relative to the lowest polymorph listed for this composition: 0.240 eV/atom


Entry 2:
DFT (PBE-GGA) results for crystalline BeCo2 at its relaxed geometry.

a = 3.741 Å, b = 3.741 Å, c = 2.414 Å
α = 90.00°, β = 90.00°, γ = 120.00°
Atoms (fractional coordinates):
Be  0.000  0.000  0.000
Co  0.333  0.667  0.300
Co  0.667  0.333  0.700


Entry 3:
DFT (PBE-GGA) results for crystalline BeCo at its relaxed geometry.

a = 2.439 Å, b = 2.439 Å, c = 7.073 Å
α = 90.00°, β = 90.00°, γ = 120.00°
Atoms (fractional coordinates):
Be  0.333  0.667  0.250
Be  0.667  0.333  0.750
Co  0.000  0.000  0.000
Co  0.000  0.000  0.500


Number 1: electronic total energy -5.07 eV per atom. Number 2: electronic total energy -6.07 eV per atom. Number 3: electronic total energy -5.56 eV per atom.